i | This record from the Alexandria database describes a relaxed structure of TbSm3Ru2. The functional is PBE.

```
TbSm3Ru2
1.0
4.867 -4.889 0.000
4.867 4.889 0.000
0.000 0.000 6.426
Tb Sm Ru
2 6 4
Cartesian
4.867 4.240 4.820 Tb
4.867 -4.240 1.607 Tb
3.088 2.439 1.607 Sm
4.867 0.667 4.820 Sm
6.645 2.439 1.607 Sm
3.088 -2.439 4.820 Sm
4.867 -0.667 1.607 Sm
6.645 -2.439 4.820 Sm
2.399 0.000 0.000 Ru
2.399 0.000 3.213 Ru
7.334 0.000 0.000 Ru
7.334 0.000 3.213 Ru
```

=====

ii | This record from the Alexandria database describes a relaxed structure of TbSm3Ru2. The functional is PBE.

```
TbSm3Ru2
1.0
8.138 -2.156 0.000
8.138 2.156 0.000
-4.660 0.000 9.689
Tb Sm Ru
2 6 4
Cartesian
0.403 0.000 1.603 Tb
11.213 0.000 8.085 Tb
0.267 0.000 5.109 Sm
0.481 0.000 8.771 Sm
5.960 0.000 2.724 Sm
5.655 0.000 6.965 Sm
11.135 0.000 0.917 Sm
11.349 0.000 4.579 Sm
-2.354 0.000 8.857 Ru
2.821 0.000 6.382 Ru
8.795 0.000 3.307 Ru
13.970 0.000 0.831 Ru
```

=====

Order from most stable to least stable according to the calculation: i, ii

=====

i | This record from the Alexandria database describes a relaxed structure of SmTcRu. The functional is PBE.

```
SmTcRu
1.0
4.381 -2.897 0.000
4.381 2.897 0.000
-1.546 0.000 4.715
Sm Tc Ru
2 2 2
Cartesian
0.608 0.000 1.758 Sm
6.609 0.000 2.957 Sm
3.836 0.000 1.191 Tc
3.380 0.000 3.524 Tc
2.191 1.449 0.000 Ru
2.191 -1.449 0.000 Ru
```

=====

ii | This record from the Alexandria database describes a relaxed structure of SmTcRu. The functional is PBE.

```
SmTcRu
1.0
-2.540 2.884 3.856
2.540 -2.884 3.856
2.540 2.884 -3.856
Sm Tc Ru
2 2 2
Cartesian
0.000 1.442 0.941 Sm
2.540 1.442 2.915 Sm
1.270 1.442 -1.928 Tc
1.270 -1.442 1.928 Tc
2.540 0.000 0.000 Ru
0.000 0.000 3.856 Ru
```

=====

Order from most stable to least stable according to the calculation: ii, i

=====

i | This record from the Alexandria database describes a relaxed structure of Sm3TeRu. The functional is PBE.

```
Sm3TeRu
1.0
6.138 -2.165 0.000
6.138 2.165 0.000
-2.852 0.000 10.652
Sm Te Ru
6 2 2
Cartesian
-0.039 0.000 4.148 Sm
3.384 0.000 3.489 Sm
2.108 0.000 9.277 Sm
7.315 0.000 1.374 Sm
6.039 0.000 7.163 Sm
9.462 0.000 6.503 Sm
-1.335 0.000 9.494 Te
10.758 0.000 1.158 Te
1.638 0.000 6.492 Ru
7.786 0.000 4.159 Ru
```

=====

ii | This record from the Alexandria database describes a relaxed structure of Sm3TeRu. The functional is PBE.

```
Sm3TeRu
1.0
8.362 0.000 0.000
0.000 4.215 0.000
-2.471 0.000 8.219
Sm Te Ru
6 2 2
Cartesian
-0.143 1.054 2.190 Sm
0.351 1.054 7.667 Sm
1.192 3.161 4.868 Sm
4.699 1.054 3.351 Sm
5.540 3.161 0.552 Sm
6.034 3.161 6.029 Sm
2.536 3.161 1.899 Te
3.355 1.054 6.320 Te
-0.756 1.054 5.057 Ru
6.647 3.161 3.162 Ru
```

=====

Order from most stable to least stable according to the calculation: ii, i

=====

i | This record from the Alexandria database describes a relaxed structure of Sm4Te3Ru. The functional is PBE.

```
Sm4Te3Ru
1.0
4.527 -6.247 0.000
4.527 6.247 0.000
0.000 0.000 4.282
Sm Te Ru
4 3 1
Cartesian
4.527 3.512 0.000 Sm
1.991 0.000 2.141 Sm
7.064 0.000 2.141 Sm
4.527 -3.512 0.000 Sm
2.264 3.124 2.141 Te
2.264 -3.124 2.141 Te
4.527 0.000 0.000 Te
0.000 0.000 0.000 Ru
```

=====

ii | This record from the Alexandria database describes a relaxed structure of Sm4Te3Ru. The functional is PBE.

```
Sm4Te3Ru
1.0
6.263 0.000 0.000
0.000 10.143 0.000
0.000 0.000 9.193
Sm Te Ru
8 6 2
Cartesian
1.566 0.383 1.737 Sm
1.566 2.536 5.710 Sm
1.566 4.689 1.737 Sm
1.566 7.608 6.076 Sm
4.697 2.536 3.117 Sm
4.697 5.455 7.455 Sm
4.697 7.608 3.483 Sm
4.697 9.761 7.455 Sm
1.566 0.106 7.756 Te
1.566 4.966 7.756 Te
1.566 7.608 2.976 Te
4.697 2.536 6.217 Te
4.697 5.178 1.437 Te
4.697 10.037 1.437 Te
1.566 2.536 3.148 Ru
4.697 7.608 6.045 Ru
```

=====

Order from most stable to least stable according to the calculation: i, ii

=====

i | This record from the Alexandria database describes a relaxed structure of Sm2TeRu. The functional is PBE.

```
Sm2TeRu
1.0
3.630 0.000 0.000
0.000 3.630 0.000
0.000 0.000 7.602
Sm Te Ru
2 1 1
Cartesian
0.000 0.000 1.692 Sm
0.000 0.000 5.911 Sm
1.815 1.815 3.801 Te
1.815 1.815 0.000 Ru
```

=====

ii | This record from the Alexandria database describes a relaxed structure of Sm2TeRu. The functional is PBE.

```
Sm2TeRu
1.0
1.939 1.119 9.337
-1.939 1.119 9.337
0.000 -2.239 9.337
Sm Te Ru
2 1 1
Cartesian
0.000 0.000 2.513 Sm
0.000 0.000 25.497 Sm
0.000 0.000 14.005 Te
0.000 0.000 0.000 Ru
```

=====

Order from most stable to least stable according to the calculation: i, ii

=====

i | This record from the Alexandria database describes a relaxed structure of SmThRu. The functional is PBE.

```
SmThRu
1.0
-2.800 2.800 5.663
2.800 -2.800 5.663
2.800 2.800 -5.663
Sm Th Ru
2 2 2
Cartesian
0.000 0.000 0.000 Sm
0.000 2.800 2.831 Sm
2.800 0.000 2.879 Th
0.000 0.000 5.710 Th
2.800 0.000 5.608 Ru
0.000 0.000 8.439 Ru
```

=====

ii | This record from the Alexandria database describes a relaxed structure of SmThRu. The functional is PBE.

```
SmThRu
1.0
-1.800 1.800 5.811
1.800 -1.800 5.811
1.800 1.800 -5.811
Sm Th Ru
1 1 1
Cartesian
0.000 0.000 0.000 Sm
0.000 0.000 3.359 Th
0.000 0.000 7.800 Ru
```

=====

iii | This record from the Alexandria database describes a relaxed structure of SmThRu. The functional is PBE.

```
SmThRu
1.0
0.000 3.466 3.466
3.466 0.000 3.466
3.466 3.466 0.000
Sm Th Ru
1 1 1
Cartesian
0.000 0.000 0.000 Sm
3.466 3.466 3.466 Th
1.733 1.733 1.733 Ru
```

=====

Order from most stable to least stable according to the calculation: i, ii, iii